The following is a DFT calculation (PBE) of crystalline GdPaMoOs at its relaxed geometry.

The structure belongs to space group F-43m (No. 216); the cell edges are 6.9114, 6.9114 and 6.9114 Å and the angles 90.00°, 90.00° and 90.00°. Symmetry generates all atoms from Gd at (0.0000, 0.0000, 0.0000), Pa at (0.0000, 0.0000, 0.5000), Mo at (0.2500, 0.2500, 0.2500) and Os at (0.2500, 0.2500, 0.7500).

The calculation puts the total magnetization at 27.50 μB per cell. As for the density of states at the Fermi level: 12.4 states/eV per cell. For the formation energy, the calculation gives 45.6 meV per atom.

=====

The following is a DFT calculation (PBE) of crystalline GdPaTcMo at its relaxed geometry.

The structure belongs to space group F-43m (No. 216); the cell edges are 6.8993, 6.8993 and 6.8993 Å and the angles 90.00°, 90.00° and 90.00°. Symmetry generates all atoms from Gd at (0.0000, 0.0000, 0.0000), Pa at (0.0000, 0.0000, 0.5000), Tc at (0.2500, 0.2500, 0.2500) and Mo at (0.2500, 0.2500, 0.7500).

The calculation puts the total magnetization at 27.29 μB per cell. As for the density of states at the Fermi level: 19.8 states/eV per cell. For the formation energy, the calculation gives 124.8 meV per atom.